Te3Os | Alexandria | GGA-PBE | optimized geometry; formation energy (no corrections) = 5.19 kcal/mol of atoms; N(E_F) = 2.3 states/eV/f.u.
1.0
4.074 -0.004 0.013
2.799 2.960 0.013
0.302 0.130 8.529
Te Os
3 1
Direct
0.500 0.500 0.500
0.712 0.712 0.820
0.288 0.288 0.180
0.000 0.000 0.000

=====

NaSrTl2Pb | Alexandria | GGA-PBE | optimized geometry; energy relative to the elements = 3.4 kJ/mol of atoms; N(E_F) = 2.5 states/eV/f.u.
1.0
5.560 0.000 0.000
0.000 5.673 0.000
0.000 0.000 5.560
Pb Tl Sr Na
1 2 1 1
Direct
0.000 0.500 0.000
0.500 0.000 0.000
0.000 0.000 0.500
0.500 0.500 0.500
0.000 0.000 0.000